VASP calculation (PBE+U) on NaMnBrO2 after structural relaxation.

Unit cell a=4.368 b=4.954 c=4.368 alpha=90.00 beta=90.00 gamma=90.00
Element x y z (fractional)
Na1 0.000 0.500 0.000
Mn1 0.500 0.500 0.500
O1 0.000 0.000 0.500
O2 0.500 0.000 0.000
Br1 0.000 0.000 0.000

total DFT energy (no corrections) = -0.261 Ry per atom
N(E_F) = 0.367 states/eV per atom
excess energy over the best structure of this formula in the dataset = 432 meV/atom